Entry from Alexandria via LeMat-Bulk: crystalline CuRuRh at its relaxed geometry (PBE-GGA).

Summary:
energy relative to the lowest polymorph listed for this composition: 106 meV per atom
formation enthalpy at 0 K: 0.133 eV per atom

Cell lengths 2.7110, 2.7110, 11.0862 Å; angles 90.00, 90.00, 90.00 degrees
With the nearest neighbours (Å) after each atom.
Space group I4mm (No. 107)
One atom of each set of equivalent atoms:
1 Cu 0.0000 0.0000 0.0000 (multiplicity 2)  4 Ru 2.67, 4 Rh 2.69, 4 Cu 2.71
2 Ru 0.0000 0.0000 0.6680 (multiplicity 2)  4 Rh 2.62, 4 Cu 2.67, 4 Ru 2.71
3 Rh 0.0000 0.0000 0.3297 (multiplicity 2)  4 Ru 2.62, 4 Cu 2.69, 4 Rh 2.71